LiMnGa6: relaxed, PBE.

Results
Size of the total moment, μB per formula unit: 0.0
Formation enthalpy at 0 K, eV/f.u.: 0.19

a b c (Å): 5.4327 5.4327 5.4202
angles (deg): 100.13 100.13 100.27
With the nearest neighbours (Å) after each atom.
Fractional coordinates of all 8 atoms:
Li  0.0000  0.0000  0.0000  12 Ga 2.91-3.12
Mn  0.5000  0.5000  0.5000  6 Ga 2.31
Ga  0.1947  0.1947  0.5891  1 Mn 2.31
Ga  0.1950  0.5896  0.1951  1 Mn 2.31
Ga  0.4104  0.8050  0.8049  1 Mn 2.31
Ga  0.5896  0.1950  0.1951  1 Mn 2.31
Ga  0.8050  0.4104  0.8049  1 Mn 2.31
Ga  0.8053  0.8053  0.4109  1 Mn 2.31